Entry one
Below is an optimized crystal structure of Li2VFe3O8, with properties calculated at the PBEsol level.

Cell and atoms, written as POSCAR:
```
Li2VFe3O8
1.0
2.850 1.646 4.522
-2.850 1.646 4.522
0.000 -3.291 4.522
Li V Fe O
2 1 3 8
Direct
0.123 0.123 0.123
0.877 0.877 0.877
0.500 0.500 0.500
0.000 0.500 0.500
0.500 0.000 0.500
0.500 0.500 0.000
0.260 0.260 0.717
0.260 0.717 0.260
0.264 0.264 0.264
0.283 0.740 0.740
0.717 0.260 0.260
0.736 0.736 0.736
0.740 0.283 0.740
0.740 0.740 0.283
```

Its symmetry is No. 166. Its crystal system is trigonal. For the density of states at the Fermi level, the calculation gives 12.632 states/eV/cell. The calculation puts the total moment at 3.0 μB per cell. The theoretical density comes out at 4.7 g/cm3.

Entry two
Below is an optimized crystal structure of Li2VFe3O8, with properties calculated at the PBEsol level.

Cell and atoms, written as POSCAR:
```
Li2VFe3O8
1.0
7.973 0.000 0.000
0.000 7.973 0.000
0.000 0.000 7.973
Li V Fe O
8 4 12 32
Direct
0.010 0.490 0.510
0.240 0.740 0.760
0.260 0.260 0.260
0.490 0.510 0.010
0.510 0.010 0.490
0.740 0.760 0.240
0.760 0.240 0.740
0.990 0.990 0.990
0.125 0.875 0.375
0.375 0.125 0.875
0.625 0.625 0.625
0.875 0.375 0.125
0.118 0.625 0.132
0.125 0.368 0.882
0.132 0.118 0.625
0.368 0.882 0.125
0.375 0.632 0.382
0.382 0.375 0.632
0.618 0.875 0.868
0.625 0.132 0.118
0.632 0.382 0.375
0.868 0.618 0.875
0.875 0.868 0.618
0.882 0.125 0.368
0.103 0.603 0.897
0.114 0.880 0.617
0.117 0.386 0.120
0.120 0.117 0.386
0.130 0.864 0.133
0.133 0.130 0.864
0.136 0.633 0.370
0.147 0.353 0.647
0.353 0.647 0.147
0.364 0.367 0.870
0.367 0.870 0.364
0.370 0.136 0.633
0.380 0.883 0.886
0.383 0.614 0.620
0.386 0.120 0.117
0.397 0.397 0.397
0.603 0.897 0.103
0.614 0.620 0.383
0.617 0.114 0.880
0.620 0.383 0.614
0.630 0.636 0.867
0.633 0.370 0.136
0.636 0.867 0.630
0.647 0.147 0.353
0.853 0.853 0.853
0.864 0.133 0.130
0.867 0.630 0.636
0.870 0.364 0.367
0.880 0.617 0.114
0.883 0.886 0.380
0.886 0.380 0.883
0.897 0.103 0.603
```

Its symmetry is No. 212. Its crystal system is cubic. For the density of states at the Fermi level, the calculation gives 48.931 states/eV/cell. The calculation puts the total moment at 12.0 μB per cell. The theoretical density comes out at 4.7 g/cm3.

How do the structures above rank in stability at the extremes? entry two comes first and entry one comes last.